(1)
A plane-wave DFT calculation with GGA-PBE was carried out for an optimized crystal structure of HoBiPt.

Lattice parameters (Å, degrees): 4.7541 4.7541 4.7541 60.00 60.00 60.00
Element x y z (fractional)
Ho 0.0000 0.0000 0.0000
Bi 0.5000 0.5000 0.5000
Pt 0.2500 0.2500 0.2500



(2)
A plane-wave DFT calculation with GGA-PBE was carried out for an optimized crystal structure of CoHg3S.

Summary:
E_form (uncorrected)   0.65 eV per atom
ΔE to the lowest computed polymorph   0 meV per atom

Lattice parameters (Å, degrees): 5.0267 5.0267 5.0267 90.00 90.00 90.00
Element x y z (fractional)
Co 0.0000 0.0000 0.0000
Hg 0.0000 0.0000 0.5000
Hg 0.0000 0.5000 0.0000
Hg 0.5000 0.0000 0.0000
S 0.5000 0.5000 0.5000



(3)
A plane-wave DFT calculation with GGA-PBE was carried out for an optimized crystal structure of YCu2MoCl.

Summary:
E_form (uncorrected)   0.78 eV per atom

Lattice parameters (Å, degrees): 4.4613 4.4613 5.0339 90.00 90.00 90.00
Element x y z (fractional)
Y 0.0000 0.0000 0.0000
Cu 0.0000 0.5000 0.5000
Cu 0.5000 0.0000 0.5000
Mo 0.5000 0.5000 0.0000
Cl 0.0000 0.0000 0.5000



(4)
A plane-wave DFT calculation with GGA-PBE was carried out for an optimized crystal structure of TbDySn.

Summary:
ΔE to the lowest computed polymorph   229 meV per atom

Lattice parameters (Å, degrees): 5.1055 5.1055 3.8581 90.00 90.00 120.00
Element x y z (fractional)
Tb 0.0000 0.0000 0.0000
Dy 0.6667 0.3333 0.5554
Sn 0.3333 0.6667 0.2875



no.,total DFT energy (no corrections) (eV/atom)
1,-5.874
2,-1.775
3,-4.691
4,-4.764